Record 1
The following is a PBE calculation of a relaxed ZrO3 crystal, from OQMD via LeMat-Bulk.

```
ZrO3
1.0
2.3763 -4.6810 0.0000
2.3763 4.6810 0.0000
-1.6698 0.0000 5.2912
Zr O
2 6
direct
0.1143 0.8857 0.7500
0.8857 0.1143 0.2500
0.0000 0.5000 0.5000
0.1674 0.2867 0.9907
0.2867 0.1674 0.4907
0.5000 0.0000 0.0000
0.7133 0.8326 0.5093
0.8326 0.7133 0.0093
```

Values from the calculation:
SG = No. 15

=====

Record 2
The following is a PBE calculation of a relaxed Er4Ni13C4 crystal, from OQMD via LeMat-Bulk.

```
Er4Ni13C4
1.0
5.8476 -5.9989 0.0000
5.8476 5.9989 0.0000
0.0000 0.0000 3.8451
Er Ni C
4 13 4
direct
0.1862 0.8138 0.0000
0.3485 0.3485 0.0000
0.6515 0.6515 0.0000
0.8138 0.1862 0.0000
0.0000 0.0000 0.5000
0.0000 0.5000 0.0000
0.0750 0.2915 0.5000
0.1241 0.1241 0.0000
0.2160 0.5699 0.5000
0.2915 0.0750 0.5000
0.4301 0.7840 0.5000
0.5000 0.0000 0.0000
0.5699 0.2160 0.5000
0.7085 0.9250 0.5000
0.7840 0.4301 0.5000
0.8759 0.8759 0.0000
0.9250 0.7085 0.5000
0.0000 0.5000 0.5000
0.4433 0.5567 0.5000
0.5000 0.0000 0.5000
0.5567 0.4433 0.5000
```

Values from the calculation:
SG = No. 65

=====

Record 3
The following is a PBE calculation of a relaxed BaPrZnS3 crystal, from OQMD via LeMat-Bulk.

```
BaPrZnS3
1.0
2.0604 -6.9498 0.0000
2.0604 6.9498 0.0000
0.0000 0.0000 10.7768
Ba Pr Zn S
2 2 2 6
direct
0.2466 0.7534 0.7500
0.7534 0.2466 0.2500
0.5000 0.5000 0.0000
0.5000 0.5000 0.5000
0.0289 0.9711 0.2500
0.9711 0.0289 0.7500
0.1370 0.8630 0.0791
0.1370 0.8630 0.4209
0.4341 0.5659 0.2500
0.5659 0.4341 0.7500
0.8630 0.1370 0.5791
0.8630 0.1370 0.9209
```

Values from the calculation:
SG = No. 63

=====

Record 4
The following is a PBE calculation of a relaxed ScBeGaPd crystal, from OQMD via LeMat-Bulk.

```
ScBeGaPd
1.0
0.0000 3.1083 3.1083
3.1083 0.0000 3.1083
3.1083 3.1083 0.0000
Sc Be Ga Pd
1 1 1 1
direct
0.0000 0.0000 0.0000
0.2500 0.2500 0.2500
0.5000 0.5000 0.5000
0.7500 0.7500 0.7500
```

Values from the calculation:
SG = No. 216

=====

Record 5
The following is a PBE calculation of a relaxed ZrZn crystal, from OQMD via LeMat-Bulk.

```
ZrZn
1.0
4.8389 0.0000 0.0000
0.0000 7.5825 2.5942
0.0000 -7.5825 2.5942
Zr Zn
5 5
direct
0.0000 0.0000 0.0000
0.0000 0.4142 0.6198
0.0000 0.6198 0.4142
0.5000 0.0101 0.2168
0.5000 0.2168 0.0101
0.0000 0.1970 0.7887
0.0000 0.7887 0.1970
0.5000 0.4264 0.8339
0.5000 0.6249 0.6249
0.5000 0.8339 0.4264
```

Values from the calculation:
formation enthalpy at 0 K = -5 kJ per mole of atoms
SG = No. 38

=====

Record 6
The following is a PBE calculation of a relaxed TmLuZnTe3 crystal, from OQMD via LeMat-Bulk.

```
TmLuZnTe3
1.0
2.0384 -7.4532 0.0000
2.0384 7.4532 0.0000
0.0000 0.0000 10.4343
Tm Lu Zn Te
2 2 2 6
direct
0.2229 0.7771 0.7500
0.7771 0.2229 0.2500
0.0000 0.0000 0.0000
0.0000 0.0000 0.5000
0.4777 0.5223 0.2500
0.5223 0.4777 0.7500
0.1170 0.8830 0.2500
0.3492 0.6508 0.0495
0.3492 0.6508 0.4505
0.6508 0.3492 0.5495
0.6508 0.3492 0.9505
0.8830 0.1170 0.7500
```

Values from the calculation:
SG = No. 63

=====

Record 7
The following is a PBE calculation of a relaxed TlMo4AsC2 crystal, from OQMD via LeMat-Bulk.

```
TlMo4AsC2
1.0
3.1964 0.0000 0.0000
-1.5982 2.7682 0.0000
0.0000 0.0000 13.0884
Tl Mo As C
1 4 1 2
direct
0.0000 0.0000 0.0000
0.0000 0.0000 0.3534
0.0000 0.0000 0.6466
0.3333 0.6667 0.1864
0.3333 0.6667 0.8136
0.3333 0.6667 0.5000
0.6667 0.3333 0.2645
0.6667 0.3333 0.7355
```

Values from the calculation:
SG = No. 187

=====

Record 8
The following is a PBE calculation of a relaxed IrBr2Cl2 crystal, from OQMD via LeMat-Bulk.

```
IrBr2Cl2
1.0
3.6179 0.0000 0.0000
-1.8089 3.1332 0.0000
0.0000 0.0000 19.4858
Ir Br Cl
2 4 4
direct
0.0000 0.0000 0.2500
0.0000 0.0000 0.7500
0.3333 0.6667 0.1693
0.3333 0.6667 0.3307
0.6667 0.3333 0.6693
0.6667 0.3333 0.8307
0.3333 0.6667 0.5680
0.3333 0.6667 0.9320
0.6667 0.3333 0.0680
0.6667 0.3333 0.4320
```

Values from the calculation:
SG = No. 194

=====

Record 9
The following is a PBE calculation of a relaxed CdIrWAu crystal, from OQMD via LeMat-Bulk.

```
CdIrWAu
1.0
0.0000 3.2294 3.2294
3.2294 0.0000 3.2294
3.2294 3.2294 0.0000
Cd Ir W Au
1 1 1 1
direct
0.0000 0.0000 0.0000
0.5000 0.5000 0.5000
0.2500 0.2500 0.2500
0.7500 0.7500 0.7500
```

Values from the calculation:
formation enthalpy at 0 K = 42 kJ per mole of atoms
SG = No. 216

=====

Record 10
The following is a PBE calculation of a relaxed LiGeAu2 crystal, from OQMD via LeMat-Bulk.

```
LiGeAu2
1.0
3.3894 0.0000 0.0000
0.0000 3.3894 0.0000
0.0000 0.0000 5.9087
Li Ge Au
1 1 2
direct
0.0000 0.0000 0.0000
0.0000 0.0000 0.5000
0.5000 0.5000 0.2382
0.5000 0.5000 0.7618
```

Values from the calculation:
SG = No. 123

=====

Record 11
The following is a PBE calculation of a relaxed DyHo2Mg3CuHg2 crystal, from OQMD via LeMat-Bulk.

```
DyHo2Mg3CuHg2
1.0
4.1082 0.0000 0.0000
0.0000 6.6775 3.8476
0.0000 -6.6775 3.8476
Dy Ho Mg Cu Hg
1 2 3 1 2
direct
0.0000 0.0000 0.0000
0.0000 0.4031 0.8059
0.0000 0.8059 0.4031
0.5000 0.1656 0.4034
0.5000 0.4034 0.1656
0.5000 0.6405 0.6405
0.0000 0.4035 0.4035
0.5000 0.0701 0.7358
0.5000 0.7358 0.0701
```

Values from the calculation:
SG = No. 38

=====

Record 12
The following is a PBE calculation of a relaxed SrCdNO crystal, from OQMD via LeMat-Bulk.

```
SrCdNO
1.0
6.2790 0.0000 0.0000
0.0000 8.6188 0.0000
0.0000 0.0000 5.3856
Sr Cd N O
4 4 4 4
direct
0.0306 0.1474 0.0000
0.4694 0.1474 0.5000
0.5306 0.8526 0.0000
0.9694 0.8526 0.5000
0.0538 0.6201 0.9847
0.4462 0.6201 0.4847
0.5538 0.3799 0.9847
0.9462 0.3799 0.4847
0.0633 0.1405 0.5084
0.4367 0.1405 0.0084
0.5633 0.8595 0.5084
0.9367 0.8595 0.0084
0.0996 0.5980 0.5608
0.4004 0.5980 0.0608
0.5996 0.4020 0.5608
0.9004 0.4020 0.0608
```

Values from the calculation:
SG = No. 29

=====

Record 13
The following is a PBE calculation of a relaxed Be2SnW crystal, from OQMD via LeMat-Bulk.

```
Be2SnW
1.0
0.0000 3.0925 3.0925
3.0925 0.0000 3.0925
3.0925 3.0925 0.0000
Be Sn W
2 1 1
direct
0.0000 0.0000 0.0000
0.2500 0.2500 0.2500
0.5000 0.5000 0.5000
0.7500 0.7500 0.7500
```

Values from the calculation:
SG = No. 216

=====

Record 14
The following is a PBE calculation of a relaxed NaSiAsOs crystal, from OQMD via LeMat-Bulk.

```
NaSiAsOs
1.0
0.0000 3.1583 3.1583
3.1583 0.0000 3.1583
3.1583 3.1583 0.0000
Na Si As Os
1 1 1 1
direct
0.0000 0.0000 0.0000
0.5000 0.5000 0.5000
0.2500 0.2500 0.2500
0.7500 0.7500 0.7500
```

Values from the calculation:
SG = No. 216

=====

Record 15
The following is a PBE calculation of a relaxed TbLuSi2Os crystal, from OQMD via LeMat-Bulk.

```
TbLuSi2Os
1.0
5.2551 -2.1083 0.0000
5.2551 2.1083 0.0000
-4.7068 0.0000 8.7274
Tb Lu Si Os
2 2 4 2
direct
0.1881 0.1881 0.1115
0.8119 0.8119 0.8885
0.0040 0.0040 0.6753
0.9960 0.9960 0.3247
0.3596 0.3596 0.4407
0.4959 0.4959 0.1262
0.5041 0.5041 0.8738
0.6404 0.6404 0.5593
0.2678 0.2678 0.6263
0.7322 0.7322 0.3737
```

Values from the calculation:
SG = No. 12

=====

Record 16
The following is a PBE calculation of a relaxed Ho2Fe17C3 crystal, from OQMD via LeMat-Bulk.

```
Ho2Fe17C3
1.0
4.2997 2.4825 4.1585
-4.2997 2.4825 4.1585
0.0000 -4.9649 4.1585
Ho Fe C
2 17 3
direct
0.1577 0.1577 0.1577
0.8423 0.8423 0.8423
0.0000 0.5000 0.5000
0.1566 0.1566 0.6460
0.1566 0.6460 0.1566
0.2161 0.5000 0.7839
0.2161 0.7839 0.5000
0.3540 0.8434 0.8434
0.4048 0.4048 0.4048
0.5000 0.0000 0.5000
0.5000 0.2161 0.7839
0.5000 0.5000 0.0000
0.5000 0.7839 0.2161
0.5952 0.5952 0.5952
0.6460 0.1566 0.1566
0.7839 0.2161 0.5000
0.7839 0.5000 0.2161
0.8434 0.3540 0.8434
0.8434 0.8434 0.3540
0.0000 0.0000 0.5000
0.0000 0.5000 0.0000
0.5000 0.0000 0.0000
```

Values from the calculation:
SG = No. 166

=====

Record 17
The following is a PBE calculation of a relaxed SrAl5FePd crystal, from OQMD via LeMat-Bulk.

```
SrAl5FePd
1.0
-2.0138 3.6685 5.0158
2.0138 -3.6685 5.0158
2.0138 3.6685 -5.0158
Sr Al Fe Pd
1 5 1 1
direct
0.0000 0.0000 0.0000
0.1577 0.3390 0.8187
0.4593 0.6570 0.8023
0.4940 0.9940 0.5000
0.5203 0.3390 0.1813
0.8547 0.6570 0.1977
0.2642 0.7642 0.5000
0.7363 0.2363 0.5000
```

Values from the calculation:
SG = No. 44

=====

Record 18
The following is a PBE calculation of a relaxed SrTePdO crystal, from OQMD via LeMat-Bulk.

```
SrTePdO
1.0
4.0442 0.0000 0.0000
0.0000 4.0442 0.0000
0.0000 0.0000 11.8831
Sr Te Pd O
2 2 2 2
direct
0.2500 0.2500 0.0997
0.7500 0.7500 0.9003
0.2500 0.2500 0.3879
0.7500 0.7500 0.6121
0.2500 0.2500 0.6150
0.7500 0.7500 0.3850
0.2500 0.7500 0.0000
0.7500 0.2500 0.0000
```

Values from the calculation:
SG = No. 129

=====

Record 19
The following is a PBE calculation of a relaxed LiCuPdW crystal, from OQMD via LeMat-Bulk.

```
LiCuPdW
1.0
0.0000 3.0080 3.0080
3.0080 0.0000 3.0080
3.0080 3.0080 0.0000
Li Cu Pd W
1 1 1 1
direct
0.0000 0.0000 0.0000
0.2500 0.2500 0.2500
0.5000 0.5000 0.5000
0.7500 0.7500 0.7500
```

Values from the calculation:
SG = No. 216

=====

Record 20
The following is a PBE calculation of a relaxed ThAlNi crystal, from OQMD via LeMat-Bulk.

```
ThAlNi
1.0
6.7818 0.0000 0.0000
-3.3909 5.8732 0.0000
0.0000 0.0000 4.5076
Th Al Ni
3 3 3
direct
0.0000 0.5536 0.0000
0.4464 0.4464 0.0000
0.5536 0.0000 0.0000
0.0000 0.0000 0.0000
0.3333 0.6667 0.5000
0.6667 0.3333 0.5000
0.0000 0.2303 0.5000
0.2303 0.0000 0.5000
0.7697 0.7697 0.5000
```

Values from the calculation:
SG = No. 189

=====

Record 21
The following is a PBE calculation of a relaxed DyB4Mo crystal, from OQMD via LeMat-Bulk.

```
DyB4Mo
1.0
-1.5809 2.7154 3.5357
1.5809 -2.7154 3.5357
1.5809 2.7154 -3.5357
Dy B Mo
1 4 1
direct
0.0000 0.0000 0.0000
0.0895 0.7522 0.3372
0.4150 0.7522 0.6628
0.5850 0.2478 0.3372
0.9105 0.2478 0.6628
0.5000 0.5000 0.0000
```

Values from the calculation:
SG = No. 71

=====

Record 22
The following is a PBE calculation of a relaxed Nd3Mg3HgPd2 crystal, from OQMD via LeMat-Bulk.

```
Nd3Mg3HgPd2
1.0
7.7085 0.0000 0.0000
-3.8543 6.6758 0.0000
0.0000 0.0000 4.2007
Nd Mg Hg Pd
3 3 1 2
direct
0.0000 0.5790 0.0000
0.4210 0.4210 0.0000
0.5790 0.0000 0.0000
0.0000 0.2515 0.5000
0.2515 0.0000 0.5000
0.7485 0.7485 0.5000
0.0000 0.0000 0.0000
0.3333 0.6667 0.5000
0.6667 0.3333 0.5000
```

Values from the calculation:
SG = No. 189

=====

Computed total energy (eV/atom) in order:
-7.576; -6.429; -4.916; -5.035; -4.957; -4.144; -8.563; -2.647; -6.058; -3.532; -2.862; -4.511; -5.193; -5.000; -7.055; -8.179; -4.657; -4.922; -5.655; -5.840; -7.502; -3.839